Arrangement i

A plane-wave DFT calculation with PBE was carried out for crystalline CsSiS2N at its relaxed geometry.

## Properties
For the total moment, the calculation gives 0.0 μB per formula unit. Its space-group type is P4/mmm, No. 123.

Lattice parameters (Å, degrees): 5.6997 5.6997 3.2584 90.00 90.00 90.00
Element x y z (fractional)
1 Cs 0.0000 0.0000 0.0000
2 Si 0.5000 0.5000 0.5000
3 S 0.0000 0.5000 0.5000
4 S 0.5000 0.0000 0.5000
5 N 0.5000 0.5000 0.0000

Arrangement ii

A plane-wave DFT calculation with PBE was carried out for crystalline CsSiS2N at its relaxed geometry.

## Properties
For the total moment, the calculation gives 0.0 μB per formula unit. Its space-group type is P4/mmm, No. 123.

Lattice parameters (Å, degrees): 5.5418 5.5418 4.3139 90.00 90.00 90.00
Element x y z (fractional)
1 Cs 0.0000 0.0000 0.0000
2 Si 0.5000 0.5000 0.5000
3 S 0.0000 0.5000 0.0000
4 S 0.5000 0.0000 0.0000
5 N 0.0000 0.0000 0.5000

Which of them is the most stable? Correct choice: arrangement i.

Arrangement i

A plane-wave DFT calculation with PBE was carried out for crystalline CsSrSN2 at its relaxed geometry.

## Properties
For the total moment, the calculation gives 5.0 μB per formula unit. Its space-group type is P4/mmm, No. 123.

Lattice parameters (Å, degrees): 5.2154 5.2154 5.8224 90.00 90.00 90.00
Element x y z (fractional)
1 Cs 0.0000 0.0000 0.0000
2 Sr 0.5000 0.5000 0.5000
3 S 0.5000 0.5000 0.0000
4 N 0.0000 0.5000 0.5000
5 N 0.5000 0.0000 0.5000

Arrangement ii

A plane-wave DFT calculation with PBE was carried out for crystalline CsSrSN2 at its relaxed geometry.

## Properties
For the total moment, the calculation gives 2.1 μB per formula unit. Its space-group type is P4/mmm, No. 123.

Lattice parameters (Å, degrees): 4.4861 4.4861 6.5550 90.00 90.00 90.00
Element x y z (fractional)
1 Cs 0.0000 0.0000 0.0000
2 Sr 0.5000 0.5000 0.5000
3 S 0.0000 0.0000 0.5000
4 N 0.0000 0.5000 0.0000
5 N 0.5000 0.0000 0.0000

Which of them is the most stable? Correct choice: arrangement i.

Arrangement i

A plane-wave DFT calculation with PBE was carried out for crystalline CsTcS2N at its relaxed geometry.

## Properties
For the total moment, the calculation gives 0.0 μB per formula unit. Its space-group type is P4/mmm, No. 123.

Lattice parameters (Å, degrees): 5.0462 5.0462 3.8611 90.00 90.00 90.00
Element x y z (fractional)
1 Cs 0.0000 0.0000 0.0000
2 Tc 0.5000 0.5000 0.5000
3 S 0.0000 0.5000 0.5000
4 S 0.5000 0.0000 0.5000
5 N 0.5000 0.5000 0.0000

Arrangement ii

A plane-wave DFT calculation with PBE was carried out for crystalline CsTcS2N at its relaxed geometry.

## Properties
For the total moment, the calculation gives 5.7 μB per formula unit. Its space-group type is P4/mmm, No. 123.

Lattice parameters (Å, degrees): 5.5796 5.5796 4.3993 90.00 90.00 90.00
Element x y z (fractional)
1 Cs 0.0000 0.0000 0.0000
2 Tc 0.5000 0.5000 0.5000
3 S 0.0000 0.5000 0.0000
4 S 0.5000 0.0000 0.0000
5 N 0.0000 0.0000 0.5000

Which of them is the most stable? Correct choice: arrangement i.

Arrangement i

A plane-wave DFT calculation with PBE was carried out for crystalline CsTeSN2 at its relaxed geometry.

## Properties
For the total moment, the calculation gives 2.5 μB per formula unit. Its space-group type is P4/mmm, No. 123.

Lattice parameters (Å, degrees): 4.3741 4.3741 6.9029 90.00 90.00 90.00
Element x y z (fractional)
1 Cs 0.0000 0.0000 0.0000
2 Te 0.5000 0.5000 0.5000
3 S 0.0000 0.0000 0.5000
4 N 0.0000 0.5000 0.0000
5 N 0.5000 0.0000 0.0000

Arrangement ii

A plane-wave DFT calculation with PBE was carried out for crystalline CsTeSN2 at its relaxed geometry.

## Properties
For the total moment, the calculation gives 3.7 μB per formula unit. Its space-group type is P4/mmm, No. 123.

Lattice parameters (Å, degrees): 4.8704 4.8704 5.2721 90.00 90.00 90.00
Element x y z (fractional)
1 Cs 0.0000 0.0000 0.0000
2 Te 0.5000 0.5000 0.0000
3 S 0.5000 0.5000 0.5000
4 N 0.0000 0.5000 0.5000
5 N 0.5000 0.0000 0.5000

Which of them is the most stable? Correct choice: arrangement ii.

Arrangement i

A plane-wave DFT calculation with PBE was carried out for crystalline CsYS2N at its relaxed geometry.

## Properties
For the total moment, the calculation gives 0.6 μB per formula unit. Its space-group type is P4/mmm, No. 123.

Lattice parameters (Å, degrees): 5.4853 5.4853 4.3375 90.00 90.00 90.00
Element x y z (fractional)
1 Cs 0.0000 0.0000 0.0000
2 Y 0.5000 0.5000 0.5000
3 S 0.0000 0.5000 0.0000
4 S 0.5000 0.0000 0.0000
5 N 0.0000 0.0000 0.5000

Arrangement ii

A plane-wave DFT calculation with PBE was carried out for crystalline CsYS2N at its relaxed geometry.

## Properties
For the total moment, the calculation gives 3.0 μB per formula unit. Its space-group type is P4/mmm, No. 123.

Lattice parameters (Å, degrees): 5.4214 5.4214 4.8525 90.00 90.00 90.00
Element x y z (fractional)
1 Cs 0.0000 0.0000 0.0000
2 Y 0.5000 0.5000 0.5000
3 S 0.0000 0.5000 0.5000
4 S 0.5000 0.0000 0.5000
5 N 0.5000 0.5000 0.0000

Which of them is the most stable? Correct choice: arrangement ii.

Arrangement i

A plane-wave DFT calculation with PBE was carried out for crystalline CsZrS2N at its relaxed geometry.

## Properties
For the total moment, the calculation gives 0.0 μB per formula unit. Its space-group type is P4/mmm, No. 123.

Lattice parameters (Å, degrees): 5.4099 5.4099 4.1377 90.00 90.00 90.00
Element x y z (fractional)
1 Cs 0.0000 0.0000 0.0000
2 Zr 0.5000 0.5000 0.5000
3 S 0.0000 0.5000 0.0000
4 S 0.5000 0.0000 0.0000
5 N 0.0000 0.0000 0.5000

Arrangement ii

A plane-wave DFT calculation with PBE was carried out for crystalline CsZrS2N at its relaxed geometry.

## Properties
For the total moment, the calculation gives 2.0 μB per formula unit. Its space-group type is P4/mmm, No. 123.

Lattice parameters (Å, degrees): 5.2002 5.2002 4.4534 90.00 90.00 90.00
Element x y z (fractional)
1 Cs 0.0000 0.0000 0.0000
2 Zr 0.5000 0.5000 0.5000
3 S 0.0000 0.5000 0.5000
4 S 0.5000 0.0000 0.5000
5 N 0.5000 0.5000 0.0000

Which of them is the most stable? Correct choice: arrangement ii.

Arrangement i

A plane-wave DFT calculation with PBE was carried out for crystalline CsSb2N at its relaxed geometry.

## Properties
For the total moment, the calculation gives 0.0 μB per formula unit. Its space-group type is Pm, No. 6.

Lattice parameters (Å, degrees): 5.1886 5.0392 6.3381 90.00 108.17 90.00
Element x y z (fractional)
1 Cs 0.0000 0.0000 0.0000
2 Sb 0.3972 0.5000 0.7280
3 Sb 0.6661 0.5000 0.4008
4 N 0.9964 0.5000 0.6774

Arrangement ii

A plane-wave DFT calculation with PBE was carried out for crystalline CsSb2N at its relaxed geometry.

## Properties
For the total moment, the calculation gives 0.0 μB per formula unit. Its space-group type is I4_1/amd, No. 141.

Lattice parameters (Å, degrees): 7.9030 7.9030 7.9030 131.23 131.23 71.45
Element x y z (fractional)
1 Cs 0.3750 0.6250 0.7500
2 Cs 0.6250 0.3750 0.2500
3 Sb 0.0000 0.0000 0.0000
4 Sb 0.0000 0.0000 0.5000
5 Sb 0.0000 0.5000 0.0000
6 Sb 0.5000 0.0000 0.5000
7 N 0.1250 0.8750 0.2500
8 N 0.8750 0.1250 0.7500

Which of them is the most stable? Correct choice: arrangement i.